Material: ZrAl2Ag
Method: DFT, GGA-PBEsol
State: relaxed

Output
- energy above the most stable polymorph in this dataset (eV/atom) = 0.104
- E_tot (eV per atom) = -5.4444
- E_form (eV per formula unit) = -1.19
- space group = P4/mmm (123)
- mass density (g/cm³) = 6.10

Cell lengths 3.034, 3.034, 7.483 Å; angles 90.00, 90.00, 90.00 degrees
Positions (direct):
Zr: 0.500 0.500 0.000
Ag: 0.500 0.500 0.500
Al: 0.000 0.000 0.729
Al: 0.000 0.000 0.271

=====

Material: AgAs
Method: DFT, GGA-PBEsol
State: relaxed

Output
- energy above the most stable polymorph in this dataset (eV/atom) = 0.000
- E_tot (eV per atom) = -4.0357
- E_form (eV per formula unit) = 0.35
- space group = Cmcm (63)
- mass density (g/cm³) = 8.29

Cell lengths 2.744, 4.389, 6.236 Å; angles 90.00, 102.71, 90.00 degrees
Positions (direct):
As: 0.430 0.750 0.859
As: 0.570 0.250 0.141
Ag: 0.703 0.750 0.406
Ag: 0.297 0.250 0.594

=====

Material: Ag5As
Method: DFT, GGA-PBEsol
State: relaxed

Output
- energy above the most stable polymorph in this dataset (eV/atom) = 0.000
- E_tot (eV per atom) = -3.5619
- E_form (eV per formula unit) = 0.29
- space group = Cmmm (65)
- mass density (g/cm³) = 10.10

Cell lengths 4.060, 4.023, 6.502 Å; angles 71.98, 90.00, 90.00 degrees
Positions (direct):
As: 0.000 0.500 0.000
Ag: 0.500 0.332 0.336
Ag: 0.000 0.167 0.666
Ag: 0.500 0.000 0.000
Ag: 0.000 0.833 0.334
Ag: 0.500 0.668 0.664

=====

Material: Ag3As5
Method: DFT, GGA-PBEsol
State: relaxed

Output
- E_tot (eV per atom) = -4.1431
- E_form (eV per formula unit) = 2.32
- space group = Cmmm (65)
- mass density (g/cm³) = 7.94

Cell lengths 4.923, 5.456, 5.456 Å; angles 94.72, 90.00, 90.00 degrees
Positions (direct):
Ag: 0.000 0.500 0.500
Ag: 0.500 0.690 0.310
Ag: 0.500 0.310 0.690
As: 0.000 0.000 0.000
As: 0.000 0.000 0.500
As: 0.000 0.500 0.000
As: 0.500 0.186 0.186
As: 0.500 0.814 0.814

=====

Material: AgAs3
Method: DFT, GGA-PBEsol
State: relaxed

Output
- energy above the most stable polymorph in this dataset (eV/atom) = 0.000
- E_tot (eV per atom) = -4.5374
- E_form (eV per formula unit) = 0.48
- space group = Cmcm (63)
- mass density (g/cm³) = 7.05

Cell lengths 5.375, 5.398, 5.398 Å; angles 90.07, 90.00, 90.00 degrees
Positions (direct):
Ag: 0.250 0.465 0.535
Ag: 0.750 0.535 0.465
As: 0.750 0.030 0.970
As: 0.250 0.970 0.030
As: 0.750 0.035 0.510
As: 0.250 0.965 0.490
As: 0.750 0.490 0.965
As: 0.250 0.510 0.035

=====

Material: AgAs
Method: DFT, GGA-PBEsol
State: relaxed

Output
- energy above the most stable polymorph in this dataset (eV/atom) = 0.043
- E_tot (eV per atom) = -3.9929
- E_form (eV per formula unit) = 0.43
- space group = P6_3/mmc (194)
- mass density (g/cm³) = 7.85

Cell lengths 4.038, 4.038, 5.476 Å; angles 90.00, 90.00, 120.00 degrees
Positions (direct):
As: 0.667 0.333 0.750
As: 0.333 0.667 0.250
Ag: 0.000 0.000 0.000
Ag: 0.000 0.000 0.500

=====

Material: AgAs3
Method: DFT, GGA-PBEsol
State: relaxed

Output
- energy above the most stable polymorph in this dataset (eV/atom) = 0.156
- E_tot (eV per atom) = -4.3815
- E_form (eV per formula unit) = 1.10
- space group = Immm (71)
- mass density (g/cm³) = 7.32

Cell lengths 3.542, 4.135, 5.828 Å; angles 110.78, 107.69, 90.00 degrees
Positions (direct):
As: 0.797 0.797 0.594
As: 0.203 0.203 0.406
As: 0.500 0.000 0.000
Ag: 0.000 0.500 0.000

=====

Material: AgAs3
Method: DFT, GGA-PBEsol
State: relaxed

Output
- energy above the most stable polymorph in this dataset (eV/atom) = 0.240
- E_tot (eV per atom) = -4.2971
- E_form (eV per formula unit) = 1.44
- space group = Pmmm (47)
- mass density (g/cm³) = 7.49

Cell lengths 2.903, 4.247, 5.979 Å; angles 90.00, 90.00, 90.00 degrees
Positions (direct):
As: 0.500 0.500 0.773
As: 0.000 0.000 0.500
As: 0.500 0.500 0.227
Ag: 0.000 0.000 0.000

=====

Material: Ag7As
Method: DFT, GGA-PBEsol
State: relaxed

Output
- E_tot (eV per atom) = -3.4843
- E_form (eV per formula unit) = 0.41
- space group = Fm-3m (225)
- mass density (g/cm³) = 10.25

Cell lengths 5.751, 5.751, 5.751 Å; angles 60.00, 60.00, 60.00 degrees
Positions (direct):
As: 0.000 0.000 0.000
Ag: 0.000 0.000 0.500
Ag: 0.000 0.500 0.000
Ag: 0.500 0.000 0.000
Ag: 0.500 0.500 0.000
Ag: 0.500 0.000 0.500
Ag: 0.000 0.500 0.500
Ag: 0.500 0.500 0.500

=====

Material: Ag2As
Method: DFT, GGA-PBEsol
State: relaxed

Output
- energy above the most stable polymorph in this dataset (eV/atom) = 0.051
- E_tot (eV per atom) = -3.7325
- E_form (eV per formula unit) = 0.53
- space group = P-3m1 (164)
- mass density (g/cm³) = 9.21

Cell lengths 2.859, 4.600, 4.600 Å; angles 120.00, 90.00, 90.00 degrees
Positions (direct):
As: 0.000 0.000 0.000
Ag: 0.749 0.333 0.667
Ag: 0.251 0.667 0.333

=====

Material: Ag5As
Method: DFT, GGA-PBEsol
State: relaxed

Output
- energy above the most stable polymorph in this dataset (eV/atom) = 0.002
- E_tot (eV per atom) = -3.5594
- E_form (eV per formula unit) = 0.31
- space group = P-62m (189)
- mass density (g/cm³) = 10.12

Cell lengths 4.645, 5.005, 5.005 Å; angles 120.00, 90.00, 90.00 degrees
Positions (direct):
As: 0.500 0.000 0.000
Ag: 0.000 0.332 0.332
Ag: 0.000 0.668 0.000
Ag: 0.000 0.000 0.668
Ag: 0.500 0.333 0.667
Ag: 0.500 0.667 0.333

=====

Material: Ag2As
Method: DFT, GGA-PBEsol
State: relaxed

Output
- energy above the most stable polymorph in this dataset (eV/atom) = 0.000
- E_tot (eV per atom) = -3.7830
- E_form (eV per formula unit) = 0.38
- space group = Immm (71)
- mass density (g/cm³) = 9.36

Cell lengths 2.951, 3.961, 5.058 Å; angles 113.05, 106.96, 90.00 degrees
Positions (direct):
As: 0.000 0.000 0.000
Ag: 0.666 0.666 0.333
Ag: 0.334 0.334 0.667